The following is a PBE calculation of a relaxed structure of Tc2Ge2Bi, from Alexandria.

Unit cell a=7.551 b=7.551 c=3.064 alpha=90.00 beta=90.00 gamma=90.00
Element x y z (fractional)
Ge 0.140 0.640 0.500
Ge 0.640 0.860 0.500
Ge 0.860 0.360 0.500
Ge 0.360 0.140 0.500
Bi 0.000 0.000 0.000
Bi 0.500 0.500 0.000
Tc 0.353 0.853 0.000
Tc 0.853 0.647 0.000
Tc 0.647 0.147 0.000
Tc 0.147 0.353 0.000

Summary:
Total moment: 0.000 μB/f.u.
Space group: P4/mbm, No. 127
D(E_F): 1.111 states/eV/atom
DFT formation energy: 0.1902 eV/atom